1:
Fe4O5F3: optimized geometry, PBE with a Hubbard U.

Cell lengths 9.858, 9.858, 4.708 Å; angles 88.40, 88.40, 36.11 degrees
Each line ends with the local moment (μB).
Fractional coordinates of all 24 atoms:
Fe  0.000  0.500  0.000  4.30
Fe  0.255  0.745  0.000  4.27
Fe  0.745  0.255  0.000  4.27
Fe  0.500  0.000  0.000  4.30
Fe  0.366  0.366  0.473  4.34
Fe  0.634  0.634  0.527  4.34
Fe  0.873  0.873  0.439  4.36
Fe  0.127  0.127  0.561  4.36
O  0.926  0.427  0.710  0.26
O  0.427  0.926  0.710  0.26
O  0.297  0.297  0.806  0.18
O  0.047  0.047  0.819  0.17
O  0.549  0.549  0.813  0.14
O  0.953  0.953  0.181  0.17
O  0.451  0.451  0.187  0.14
O  0.703  0.703  0.194  0.18
O  0.573  0.074  0.290  0.26
O  0.074  0.573  0.290  0.26
F  0.170  0.673  0.679  0.12
F  0.673  0.170  0.679  0.12
F  0.804  0.804  0.792  0.13
F  0.196  0.196  0.208  0.13
F  0.327  0.830  0.321  0.12
F  0.830  0.327  0.321  0.12

## Properties
Symmetry   No. 12

---

2:
Fe4O5F3: optimized geometry, PBE with a Hubbard U.

Cell lengths 4.769, 4.769, 6.001 Å; angles 90.00, 90.00, 96.20 degrees
Each line ends with the local moment (μB).
Fractional coordinates of all 12 atoms:
Fe  0.991  0.009  0.740  4.33
Fe  0.991  0.009  0.260  4.33
Fe  0.522  0.478  0.500  3.18
Fe  0.495  0.505  0.000  4.05
O  0.816  0.184  0.500  0.27
O  0.309  0.308  0.757  0.05
O  0.309  0.308  0.243  0.05
O  0.692  0.691  0.757  0.05
O  0.692  0.691  0.243  0.05
F  0.807  0.193  0.000  0.13
F  0.191  0.809  0.500  0.14
F  0.184  0.816  0.000  0.10

## Properties
Symmetry   No. 38

---

3:
Fe4O5F3: optimized geometry, PBE with a Hubbard U.

Cell lengths 4.627, 5.528, 10.263 Å; angles 83.79, 90.00, 90.00 degrees
Each line ends with the local moment (μB).
Fractional coordinates of all 24 atoms:
Fe  0.277  0.757  0.261  2.78
Fe  0.196  0.237  0.743  4.28
Fe  0.220  0.509  0.987  4.34
Fe  0.266  0.997  0.504  3.16
Fe  0.723  0.757  0.761  2.78
Fe  0.780  0.509  0.487  4.34
Fe  0.804  0.237  0.243  4.28
Fe  0.734  0.997  0.004  3.16
O  0.975  0.525  0.320  0.14
O  0.948  0.266  0.069  0.17
O  0.919  0.010  0.834  -0.12
O  0.025  0.525  0.820  0.14
O  0.052  0.266  0.569  0.17
O  0.081  0.010  0.334  -0.12
O  0.458  0.732  0.428  -0.12
O  0.439  0.977  0.680  -0.03
O  0.561  0.977  0.180  -0.03
O  0.542  0.732  0.928  -0.12
F  0.931  0.772  0.586  0.07
F  0.069  0.772  0.086  0.07
F  0.429  0.237  0.915  0.11
F  0.457  0.482  0.173  0.05
F  0.543  0.482  0.673  0.05
F  0.571  0.237  0.415  0.11

## Properties
Symmetry   No. 7

---

4:
Fe4O5F3: optimized geometry, PBE with a Hubbard U.

Cell lengths 4.668, 7.690, 7.631 Å; angles 104.91, 92.17, 92.81 degrees
Each line ends with the local moment (μB).
Fractional coordinates of all 24 atoms:
Fe  0.529  0.871  0.617  2.74
Fe  0.453  0.635  0.874  4.32
Fe  0.523  0.340  0.103  4.29
Fe  0.498  0.131  0.384  3.15
Fe  0.022  0.764  0.262  4.34
Fe  0.969  0.516  0.504  4.33
Fe  0.994  0.248  0.758  3.17
Fe  0.008  0.990  0.993  4.12
O  0.799  0.732  0.471  0.06
O  0.826  0.206  0.966  0.00
O  0.703  0.843  0.843  0.01
O  0.686  0.348  0.346  0.10
O  0.709  0.097  0.598  -0.12
O  0.319  0.911  0.412  0.00
O  0.303  0.658  0.643  0.10
O  0.302  0.143  0.155  0.04
O  0.302  0.399  0.903  0.10
O  0.183  0.781  0.032  0.20
F  0.789  0.484  0.728  0.11
F  0.802  0.969  0.221  0.14
F  0.694  0.596  0.100  0.10
F  0.230  0.015  0.774  0.08
F  0.180  0.530  0.276  0.12
F  0.176  0.292  0.538  0.05

## Properties
Symmetry   No. 1

---

Which structure is the most stable? The one labeled 1.

---

1:
Fe4O5F3: optimized geometry, PBE with a Hubbard U.

Cell lengths 6.118, 4.699, 9.377 Å; angles 87.47, 90.00, 90.00 degrees
Each line ends with the local moment (μB).
Fractional coordinates of all 24 atoms:
Fe  0.750  0.000  0.001  4.13
Fe  0.250  0.014  0.991  4.39
Fe  0.750  0.014  0.491  4.39
Fe  0.250  0.000  0.501  4.13
Fe  0.498  0.524  0.771  4.35
Fe  0.010  0.457  0.738  4.35
Fe  0.502  0.524  0.271  4.35
Fe  0.990  0.457  0.238  4.35
O  0.003  0.174  0.590  0.21
O  0.997  0.174  0.090  0.21
O  0.754  0.303  0.848  0.20
O  0.254  0.310  0.847  0.29
O  0.746  0.310  0.347  0.29
O  0.246  0.303  0.348  0.20
O  0.254  0.701  0.652  0.13
O  0.746  0.701  0.152  0.13
O  0.507  0.821  0.912  0.20
O  0.493  0.821  0.412  0.20
F  0.509  0.206  0.603  0.14
F  0.491  0.206  0.103  0.14
F  0.753  0.694  0.649  0.11
F  0.247  0.694  0.149  0.11
F  0.997  0.795  0.397  0.14
F  0.003  0.795  0.897  0.14

## Properties
Symmetry   No. 7

---

2:
Fe4O5F3: optimized geometry, PBE with a Hubbard U.

Cell lengths 4.771, 4.771, 11.992 Å; angles 90.00, 90.00, 96.25 degrees
Each line ends with the local moment (μB).
Fractional coordinates of all 24 atoms:
Fe  0.989  0.011  0.130  4.33
Fe  0.989  0.011  0.370  4.33
Fe  0.011  0.989  0.630  4.33
Fe  0.011  0.989  0.870  4.33
Fe  0.522  0.478  0.250  3.18
Fe  0.478  0.522  0.750  3.18
Fe  0.500  0.500  0.000  4.04
Fe  0.500  0.500  0.500  4.04
O  0.184  0.816  0.750  0.28
O  0.311  0.306  0.121  0.05
O  0.311  0.306  0.379  0.05
O  0.306  0.311  0.621  0.05
O  0.306  0.311  0.879  0.05
O  0.694  0.689  0.121  0.05
O  0.694  0.689  0.379  0.05
O  0.689  0.694  0.621  0.05
O  0.689  0.694  0.879  0.05
O  0.816  0.184  0.250  0.28
F  0.191  0.809  0.250  0.14
F  0.188  0.812  0.497  0.12
F  0.188  0.812  0.003  0.12
F  0.812  0.188  0.503  0.12
F  0.809  0.191  0.750  0.14
F  0.812  0.188  0.997  0.12

## Properties
Symmetry   No. 63

---

Which structure is the most stable? The one labeled 1.